DFT (PBE-GGA) results for a relaxed TbEr4Cd3 crystal.

Calculated values
For the formation energy from the elements, the calculation gives -0.1615 eV/atom. The total energy comes out at -3.3649 eV/atom. As for the volume: 651.9 Å³/cell.

Cell: 5.2967 5.2967 26.8332 Å, 90.00 90.00 120.00°
With the nearest neighbours (Å) after each atom.
Space group R-3m (No. 166, hexagonal axes)
Symmetry-distinct sites (fractional):
Tb1 0.0000 0.0000 0.0000 x3  8 Er 3.37-3.48, 6 Cd 3.64
Er1 0.0000 0.0000 0.1298 x6  7 Cd 3.21-3.48, 1 Tb 3.48
Er2 0.0000 0.0000 0.3865 x6  5 Cd 3.04-3.41, 3 Tb 3.37
Cd1 0.0000 0.0000 0.2595 x6  7 Er 3.11-3.41
Cd2 0.0000 0.0000 0.5000 x3  8 Er 3.04-3.21

DFT (PBE-GGA) results for a relaxed TbEr2Cd8 crystal.

Calculated values
For the formation energy from the elements, the calculation gives -0.2246 eV/atom. The total energy comes out at -2.1407 eV/atom. As for the volume: 530.0 Å³/cell.

Cell: 8.1175 15.8105 5.3283 Å, 90.00 129.20 90.00°
With the nearest neighbours (Å) after each atom.
Space group C2/m (No. 12)
Symmetry-distinct sites (fractional):
Tb1 0.0000 0.0000 0.0000 x2  6 Cd 3.18-3.47
Er1 0.0000 0.3119 0.5000 x4  12 Cd 3.15-3.30
Cd1 0.0000 0.2011 0.0000 x4  6 Cd 3.14-3.33, 4 Er 3.15-3.19, 1 Tb 3.18
Cd2 0.0163 0.5000 0.2683 x4  4 Cd 2.64-2.94
Cd3 0.2318 0.1305 0.7450 x8  5 Cd 2.93-3.15, 2 Er 3.22-3.27

DFT (PBE-GGA) results for a relaxed Tb3Er5Cd crystal.

Calculated values
For the formation energy from the elements, the calculation gives 0.4201 eV/atom. The total energy comes out at -3.7599 eV/atom. As for the volume: 1270.8 Å³/cell.

Cell: 11.8995 11.2096 10.0390 Å, 90.00 108.38 90.00°
With the nearest neighbours (Å) after each atom.
Space group C2/m (No. 12)
Symmetry-distinct sites (fractional):
Tb1 0.0000 0.0000 0.0000 x2  2 Er 2.96, 2 Cd 3.22, 2 Tb 3.28
Tb2 0.0000 0.5000 0.5000 x2  2 Tb 3.17, 2 Cd 3.26, 2 Er 3.41
Tb3 0.0013 0.0000 0.6736 x4  1 Cd 3.06, 2 Er 3.28-3.29, 1 Tb 3.28
Tb4 0.0044 0.5000 0.1854 x4  5 Er 3.10-3.42, 1 Tb 3.17
Er1 0.0000 0.2644 0.0000 x4  3 Tb 2.96-3.22
Er2 0.1882 0.2590 0.7927 x8  1 Cd 2.97, 1 Er 3.28
Er3 0.2369 0.5000 0.0535 x4  4 Tb 3.11-3.44, 2 Er 3.28, 1 Cd 3.34
Er4 0.2468 0.0000 0.5911 x4  4 Tb 3.10-3.41, 1 Cd 3.21
Cd1 0.2364 0.0000 0.2680 x4  3 Er 2.97-3.21, 3 Tb 3.06-3.26

DFT (PBE-GGA) results for a relaxed TbErCd4 crystal.

Calculated values
For the formation energy from the elements, the calculation gives -0.3124 eV/atom. Its excess energy over the best structure of this formula in the dataset is 0 meV per atom. The total energy comes out at -2.4546 eV/atom. As for the volume: 146.6 Å³/cell.

Cell: 3.4269 4.9763 8.5950 Å, 90.00 90.09 90.00°
With the nearest neighbours (Å) after each atom.
Space group P2/m (No. 10)
Symmetry-distinct sites (fractional):
Tb1 0.0000 0.0000 0.0000 x1  12 Cd 3.34-3.35, 2 Tb 3.43
Er1 0.0000 0.5000 0.5000 x1  12 Cd 3.32-3.34, 2 Er 3.43
Cd1 0.4993 0.0000 0.3341 x2  3 Cd 2.85-2.87
Cd2 0.5004 0.5000 0.1683 x2  3 Cd 2.87-2.89

DFT (PBE-GGA) results for a relaxed Tb2ErCd4 crystal.

Calculated values
For the formation energy from the elements, the calculation gives -0.1573 eV/atom. Its excess energy over the best structure of this formula in the dataset is 0 meV per atom. The total energy comes out at -2.6550 eV/atom. As for the volume: 390.3 Å³/cell.

Cell: 5.3135 5.3135 13.8224 Å, 90.00 90.00 90.00°
With the nearest neighbours (Å) after each atom.
Space group I4/mmm (No. 139)
Symmetry-distinct sites (fractional):
Tb1 0.0000 0.0000 0.2416 x4  8 Cd 3.19-3.33, 1 Er 3.57
Er1 0.0000 0.0000 0.5000 x2  8 Cd 3.08
Cd1 0.0000 0.5000 0.1134 x8  2 Er 3.08, 1 Cd 3.13, 4 Tb 3.19-3.33

DFT (PBE-GGA) results for a relaxed Tb9Er4Cd11 crystal.

Calculated values
For the formation energy from the elements, the calculation gives -0.2331 eV/atom. The total energy comes out at -3.1494 eV/atom. As for the volume: 1280.8 Å³/cell.

Cell: 16.0295 22.6474 3.5280 Å, 90.00 90.00 90.00°
With the nearest neighbours (Å) after each atom.
Space group Cmmm (No. 65)
Symmetry-distinct sites (fractional):
Tb1 0.0000 0.0000 0.0000 x2  4 Er 3.26, 4 Cd 3.43, 2 Tb 3.53
Tb2 0.1129 0.2337 0.0000 x8  8 Cd 3.24-3.45, 1 Er 3.46, 3 Tb 3.53-3.62
Tb3 0.1150 0.4088 0.0000 x8  8 Cd 3.20-3.28, 2 Tb 3.53, 1 Er 3.55
Er1 0.1636 0.0854 0.0000 x8  6 Cd 3.19-3.32, 3 Tb 3.26-3.55, 2 Er 3.53
Cd1 0.0000 0.1297 0.5000 x4  4 Er 3.32, 6 Tb 3.43-3.45, 2 Cd 3.53
Cd2 0.0000 0.3233 0.5000 x4  8 Tb 3.20-3.24, 2 Cd 3.53
Cd3 0.0000 0.5000 0.5000 x2  8 Tb 3.28, 4 Cd 3.53-3.57
Cd4 0.2227 0.5000 0.5000 x4  4 Er 3.19, 4 Tb 3.22, 3 Cd 3.53-3.57
Cd5 0.2328 0.3197 0.5000 x8  3 Cd 3.21-3.53, 2 Er 3.24, 6 Tb 3.26-3.28

DFT (PBE-GGA) results for a relaxed Tb2Er3Cd6 crystal.

Calculated values
For the formation energy from the elements, the calculation gives 0.1106 eV/atom. The total energy comes out at -2.4748 eV/atom. As for the volume: 679.0 Å³/cell.

Cell: 4.9637 4.9637 27.5578 Å, 90.00 90.00 90.00°
With the nearest neighbours (Å) after each atom.
Space group I4/mmm (No. 139)
Symmetry-distinct sites (fractional):
Tb1 0.0000 0.0000 0.1346 x4  5 Cd 3.15-3.18, 4 Er 3.51
Er1 0.0000 0.0000 0.3646 x4  5 Cd 3.16, 4 Tb 3.51
Er2 0.0000 0.0000 0.5000 x2  8 Cd 3.05
Cd1 0.0000 0.0000 0.2499 x4  1 Er 3.16, 1 Tb 3.18, 4 Cd 3.51
Cd2 0.0000 0.5000 0.0645 x8  4 Er 3.05-3.16, 2 Tb 3.15

DFT (PBE-GGA) results for a relaxed Tb5Er4Cd crystal.

Calculated values
For the formation energy from the elements, the calculation gives 0.1566 eV/atom. Its excess energy over the best structure of this formula in the dataset is 202 meV per atom. The total energy comes out at -4.0752 eV/atom. As for the volume: 634.9 Å³/cell.

Cell: 10.5236 10.5236 5.7326 Å, 90.00 90.00 90.00°
With the nearest neighbours (Å) after each atom.
Space group I4mm (No. 107)
Symmetry-distinct sites (fractional):
Tb1 0.0000 0.0000 0.0000 x2  2 Cd 2.74-2.99
Tb2 0.1853 0.1853 0.2903 x8  1 Cd 3.06, 1 Tb 3.22, 2 Er 3.31
Er1 0.0000 0.3217 0.8018 x8  5 Tb 3.31-3.70
Cd1 0.0000 0.0000 0.5215 x2  6 Tb 2.74-3.06

DFT (PBE-GGA) results for a relaxed TbErCd4 crystal.

Calculated values
For the formation energy from the elements, the calculation gives -0.2294 eV/atom. Its excess energy over the best structure of this formula in the dataset is 83 meV per atom. The total energy comes out at -2.3717 eV/atom. As for the volume: 292.5 Å³/cell.

Cell: 12.8311 3.4665 6.8207 Å, 90.00 105.37 90.00°
With the nearest neighbours (Å) after each atom.
Space group C2/m (No. 12)
Symmetry-distinct sites (fractional):
Tb1 0.0000 0.0000 0.0000 x2  8 Cd 3.25-3.26, 2 Er 3.41, 2 Tb 3.47
Er1 0.0000 0.0000 0.5000 x2  8 Cd 3.23-3.24, 2 Tb 3.41, 2 Er 3.47
Cd1 0.1731 0.5000 0.3389 x4  5 Cd 3.07-3.38, 2 Er 3.23, 2 Tb 3.25
Cd2 0.1745 0.5000 0.8346 x4  5 Cd 3.08-3.38, 2 Er 3.24, 2 Tb 3.26

DFT (PBE-GGA) results for a relaxed Tb2ErCd5 crystal.

Calculated values
For the formation energy from the elements, the calculation gives -0.2959 eV/atom. The total energy comes out at -2.5957 eV/atom. As for the volume: 394.3 Å³/cell.

Cell: 5.1188 5.1188 15.0486 Å, 90.00 90.00 90.00°
With the nearest neighbours (Å) after each atom.
Space group I4/mmm (No. 139)
Symmetry-distinct sites (fractional):
Tb1 0.0000 0.0000 0.2396 x4  8 Cd 3.15-3.34
Er1 0.0000 0.0000 0.5000 x2  8 Cd 3.11
Cd1 0.0000 0.0000 0.0000 x2  8 Cd 3.11
Cd2 0.0000 0.5000 0.1180 x8  2 Cd 3.11, 2 Er 3.11, 4 Tb 3.15-3.34

DFT (PBE-GGA) results for a relaxed Tb5Er8Cd crystal.

Calculated values
For the formation energy from the elements, the calculation gives 0.2034 eV/atom. The total energy comes out at -4.1230 eV/atom. As for the volume: 888.7 Å³/cell.

Cell: 9.4912 9.4912 9.8653 Å, 90.00 90.00 90.00°
With the nearest neighbours (Å) after each atom.
Space group I-4 (No. 82)
Symmetry-distinct sites (fractional):
Tb1 0.0000 0.0000 0.0000 x2  8 Er 3.11-3.29
Tb2 0.1019 0.7911 0.4196 x8  8 Er 3.32-3.58, 2 Tb 3.50
Er1 0.0685 0.6742 0.0924 x8  5 Tb 3.29-3.58, 4 Er 3.55-3.64
Er2 0.0873 0.8135 0.7546 x8  1 Cd 3.09, 4 Tb 3.11-3.43
Cd1 0.0000 0.5000 0.7500 x2  4 Er 3.09

> formation energy from the elements of number 7 (Tb2Er3Cd6)?

0.1106 eV/atom

Copy entry 10 word for word.
DFT (PBE-GGA) results for a relaxed Tb2ErCd5 crystal.

Calculated values
For the formation energy from the elements, the calculation gives -0.2959 eV/atom. The total energy comes out at -2.5957 eV/atom. As for the volume: 394.3 Å³/cell.

Cell: 5.1188 5.1188 15.0486 Å, 90.00 90.00 90.00°
With the nearest neighbours (Å) after each atom.
Space group I4/mmm (No. 139)
Symmetry-distinct sites (fractional):
Tb1 0.0000 0.0000 0.2396 x4  8 Cd 3.15-3.34
Er1 0.0000 0.0000 0.5000 x2  8 Cd 3.11
Cd1 0.0000 0.0000 0.0000 x2  8 Cd 3.11
Cd2 0.0000 0.5000 0.1180 x8  2 Cd 3.11, 2 Er 3.11, 4 Tb 3.15-3.34